Entry 1:
Computed, not measured: a relaxed structure of SnBiSbTe2 at the PBE-GGA level of DFT.

Unit cell a=5.640 b=5.640 c=5.666 alpha=90.00 beta=90.00 gamma=90.00
Space group P4/mmm (No. 123)
Unique sites:
Sn (0.000, 0.000, 0.000) [1 per cell]
Bi (0.500, 0.500, 0.500) [1 per cell]
Sb (0.000, 0.000, 0.500) [1 per cell]
Te (0.000, 0.500, 0.000) [2 per cell]

## Properties
mass density = 6.5 Mg/m³
energy relative to the elements, uncorrected = 0.55 eV per atom
distance to the lowest polymorph of the same formula = 0 meV/atom
density of states at the Fermi level = 4.178 states/eV/f.u.

***

Entry 2:
Computed, not measured: a relaxed structure of BaNiW at the PBE-GGA level of DFT.

Unit cell a=8.152 b=3.572 c=10.367 alpha=90.00 beta=90.00 gamma=90.00
Space group Pnma (No. 62)
Unique sites:
Ba (0.050, 0.250, 0.179) [4 per cell]
Ni (0.217, 0.750, 0.394) [4 per cell]
W (0.102, 0.250, 0.531) [4 per cell]

## Properties
mass density = 8.4 Mg/m³
distance to the lowest polymorph of the same formula = 265 meV/atom
density of states at the Fermi level = 3.033 states/eV/f.u.
calculated formation energy = 585 meV/atom

***

Entry 3:
Computed, not measured: a relaxed structure of ReAuCl2 at the PBE-GGA level of DFT.

Unit cell a=2.972 b=5.502 c=9.672 alpha=90.00 beta=90.00 gamma=90.00
Space group Cmm2 (No. 35)
Unique sites:
Re (0.000, 0.000, 0.000) [2 per cell]
Au (0.000, 0.500, 0.765) [2 per cell]
Cl (0.000, 0.000, 0.545) [2 per cell]
Cl (0.000, 0.500, 0.195) [2 per cell]

## Properties
mass density = 9.5 Mg/m³
energy relative to the elements, uncorrected = 0.39 eV per atom
distance to the lowest polymorph of the same formula = 271 meV/atom
density of states at the Fermi level = 2.703 states/eV/f.u.

***

Entry 4:
Computed, not measured: a relaxed structure of BeAg2SeS at the PBE-GGA level of DFT.

Unit cell a=5.081 b=5.081 c=3.826 alpha=90.00 beta=90.00 gamma=90.00
Space group P4/mmm (No. 123)
Unique sites:
Be (0.000, 0.000, 0.000) [1 per cell]
Ag (0.000, 0.500, 0.500) [2 per cell]
Se (0.500, 0.500, 0.000) [1 per cell]
S (0.000, 0.000, 0.500) [1 per cell]

## Properties
mass density = 5.6 Mg/m³
energy relative to the elements, uncorrected = 0.19 eV per atom
density of states at the Fermi level = 0.509 states/eV/f.u.

***

Entry 5:
Computed, not measured: a relaxed structure of Al2PBr at the PBE-GGA level of DFT.

Unit cell a=3.108 b=3.108 c=9.040 alpha=90.00 beta=90.00 gamma=90.00
Space group P4mm (No. 99)
Unique sites:
Al (0.000, 0.000, 0.000) [1 per cell]
Al (0.500, 0.500, 0.235) [1 per cell]
P (0.500, 0.500, 0.844) [1 per cell]
Br (0.000, 0.000, 0.427) [1 per cell]

## Properties
mass density = 3.1 Mg/m³
energy relative to the elements, uncorrected = 0.12 eV per atom
distance to the lowest polymorph of the same formula = 387 meV/atom
density of states at the Fermi level = 1.898 states/eV/f.u.

***

Entry 6:
Computed, not measured: a relaxed structure of In2MoPt at the PBE-GGA level of DFT.

Unit cell a=4.017 b=4.017 c=9.163 alpha=90.00 beta=90.00 gamma=90.00
Space group I-4m2 (No. 119)
Unique sites:
In (0.000, 0.000, 0.000) [2 per cell]
In (0.000, 0.500, 0.250) [2 per cell]
Mo (0.000, 0.500, 0.750) [2 per cell]
Pt (0.000, 0.000, 0.500) [2 per cell]

## Properties
mass density = 11.7 Mg/m³
distance to the lowest polymorph of the same formula = 168 meV/atom
density of states at the Fermi level = 3.828 states/eV/f.u.
calculated formation energy = 152 meV/atom

***

Entry 7:
Computed, not measured: a relaxed structure of Be2TlGe2 at the PBE-GGA level of DFT.

Unit cell a=4.108 b=4.108 c=10.342 alpha=90.00 beta=90.00 gamma=90.00
Space group I4/mmm (No. 139)
Unique sites:
Be (0.000, 0.500, 0.250) [4 per cell]
Tl (0.000, 0.000, 0.000) [2 per cell]
Ge (0.000, 0.000, 0.372) [4 per cell]

## Properties
mass density = 7.0 Mg/m³
density of states at the Fermi level = 1.523 states/eV/f.u.
calculated formation energy = 319 meV/atom

***

Entry 8:
Computed, not measured: a relaxed structure of SmMg2Cd at the PBE-GGA level of DFT.

Unit cell a=3.427 b=3.427 c=8.509 alpha=90.00 beta=90.00 gamma=90.00
Space group P4/mmm (No. 123)
Unique sites:
Sm (0.000, 0.000, 0.000) [1 per cell]
Mg (0.500, 0.500, 0.284) [2 per cell]
Cd (0.000, 0.000, 0.500) [1 per cell]

## Properties
mass density = 5.2 Mg/m³
distance to the lowest polymorph of the same formula = 110 meV/atom
density of states at the Fermi level = 3.208 states/eV/f.u.
calculated formation energy = -113 meV/atom

***

Entry 9:
Computed, not measured: a relaxed structure of LiCr2Pb at the PBE-GGA level of DFT.

Unit cell a=3.530 b=3.530 c=6.248 alpha=90.00 beta=90.00 gamma=90.00
Space group P4/mmm (No. 123)
Unique sites:
Li (0.000, 0.000, 0.000) [1 per cell]
Cr (0.500, 0.500, 0.240) [2 per cell]
Pb (0.000, 0.000, 0.500) [1 per cell]

## Properties
mass density = 6.8 Mg/m³
density of states at the Fermi level = 3.014 states/eV/f.u.
calculated formation energy = 658 meV/atom

***

Entry 10:
Computed, not measured: a relaxed structure of TaAu2I at the PBE-GGA level of DFT.

Unit cell a=8.142 b=8.142 c=5.543 alpha=90.00 beta=90.00 gamma=90.00
Space group I-42d (No. 122)
Unique sites:
Ta (0.000, 0.000, 0.000) [4 per cell]
Au (0.208, 0.250, 0.125) [8 per cell]
I (0.000, 0.000, 0.500) [4 per cell]

## Properties
mass density = 12.7 Mg/m³
energy relative to the elements, uncorrected = 0.57 eV per atom
distance to the lowest polymorph of the same formula = 0 meV/atom
density of states at the Fermi level = 3.266 states/eV/f.u.

***

Entry 11:
Computed, not measured: a relaxed structure of Ca2LaTi at the PBE-GGA level of DFT.

Unit cell a=4.661 b=4.661 c=24.600 alpha=90.00 beta=90.00 gamma=90.00
Space group I-42d (No. 122)
Unique sites:
Ca (0.237, 0.250, 0.125) [8 per cell]
La (0.000, 0.000, 0.500) [4 per cell]
Ti (0.000, 0.000, 0.000) [4 per cell]

## Properties
mass density = 3.3 Mg/m³
distance to the lowest polymorph of the same formula = 119 meV/atom
density of states at the Fermi level = 5.279 states/eV/f.u.
calculated formation energy = 613 meV/atom

***

Entry 12:
Computed, not measured: a relaxed structure of Ac4LaPb3 at the PBE-GGA level of DFT.

Unit cell a=20.691 b=5.391 c=5.391 alpha=90.00 beta=105.02 gamma=90.00
Space group C2/m (No. 12)
Unique sites:
Ac (0.131, 0.000, 0.131) [4 per cell]
Ac (0.132, 0.500, 0.631) [4 per cell]
La (0.000, 0.000, 0.500) [2 per cell]
Pb (0.000, 0.500, 0.000) [2 per cell]
Pb (0.249, 0.000, 0.749) [4 per cell]

## Properties
mass density = 9.5 Mg/m³
density of states at the Fermi level = 9.787 states/eV/f.u.
calculated formation energy = -347 meV/atom